Entry 1:
Mg2CuAs | GGA-PBE | relaxed

Cell lengths 5.9795, 5.9795, 4.5907 Å; angles 72.41, 72.41, 28.11 degrees
Closest atoms and distances in Å follow each position.
Fractional positions:
As (0.5479, 0.5479, 0.4888)  2 Cu 2.62, 5 Mg 2.89-2.93, 2 As 2.90
Cu (0.2402, 0.2402, 0.2257)  2 As 2.62, 6 Mg 2.69-2.79, 2 Cu 2.90
Mg (0.9562, 0.9562, 0.0639)  2 Cu 2.79, 4 As 2.89-2.91, 2 Mg 2.90
Mg (0.7558, 0.7558, 0.7216)  4 Cu 2.69-2.75, 2 Mg 2.90, 1 As 2.93

- space-group type = Cm, No. 8
- uncorrected energy (eV per cell) = -12.442


Entry 2:
Sm8SbTe4P3 | GGA-PBE | relaxed

Cell lengths 8.5537, 8.7660, 8.5542 Å; angles 119.21, 120.00, 90.00 degrees
Closest atoms and distances in Å follow each position.
Fractional positions:
Sm (0.2476, 0.7193, 0.9717)  2 P 2.89, 1 Sb 3.03, 1 Te 3.11
Sm (0.2476, 0.7192, 0.4953)  2 P 2.89, 1 Sb 3.03, 1 Te 3.11
Sm (0.2628, 0.2884, 0.5257)  3 P 2.91, 3 Te 3.23
Sm (0.7240, 0.7193, 0.9717)  2 P 2.89, 1 Sb 3.03, 1 Te 3.11
Sm (0.2760, 0.2807, 0.0283)  2 P 2.89, 1 Sb 3.03, 1 Te 3.11
Sm (0.7372, 0.7116, 0.4743)  3 P 2.91, 3 Te 3.23
Sm (0.7524, 0.2808, 0.5047)  2 P 2.89, 1 Sb 3.03, 1 Te 3.11
Sm (0.7524, 0.2807, 0.0283)  2 P 2.89, 1 Sb 3.03, 1 Te 3.11
Sb (0.0000, 0.5000, 0.0000)  6 Sm 3.03
Te (0.5000, 0.0000, 0.0000)  6 Sm 3.11
Te (0.5000, 0.0000, 0.5000)  6 Sm 3.23-3.25
Te (0.0000, 0.0000, 0.0000)  6 Sm 3.23-3.25
Te (0.0000, 0.0000, 0.5000)  6 Sm 3.23-3.25
P (0.5000, 0.5000, 0.0000)  6 Sm 2.89-2.91
P (0.5000, 0.5000, 0.5000)  6 Sm 2.89-2.91
P (0.0000, 0.5000, 0.5000)  6 Sm 2.89-2.91

- space-group type = R-3m, No. 166
- uncorrected formation energy (meV per atom) = -1495


Entry 3:
TbHo5Sc2 | GGA-PBE | relaxed

Cell lengths 7.0676, 7.0674, 6.5381 Å; angles 105.73, 105.74, 119.89 degrees
Closest atoms and distances in Å follow each position.
Fractional positions:
Tb (0.8213, 0.7345, 0.0000)  2 Sc 3.41, 10 Ho 3.43-3.57
Ho (0.2373, 0.3187, 0.5001)  6 Ho 3.43-3.54, 2 Tb 3.43, 4 Sc 3.52-3.55
Ho (0.3177, 0.7378, 0.9999)  4 Sc 3.42, 6 Ho 3.44-3.57, 2 Tb 3.50-3.57
Ho (0.8179, 0.2379, 0.0000)  4 Sc 3.42, 6 Ho 3.44-3.57, 2 Tb 3.50-3.57
Ho (0.7371, 0.8186, 0.5000)  6 Ho 3.43-3.54, 2 Tb 3.43, 4 Sc 3.52-3.55
Ho (0.3209, 0.2349, 0.0001)  2 Sc 3.40-3.41, 8 Ho 3.43-3.57, 2 Tb 3.54
Sc (0.2356, 0.8205, 0.5005)  9 Ho 3.41-3.55, 1 Tb 3.41, 2 Sc 3.54
Sc (0.7352, 0.3200, 0.4995)  9 Ho 3.40-3.55, 1 Tb 3.41, 2 Sc 3.54

- E above lowest polymorph (eV per atom) = 0.000
- space-group type = Fmm2, No. 42


Entry 4:
Ho6Hg5Pb | GGA-PBE | relaxed

Cell lengths 5.2816, 7.3952, 9.1424 Å; angles 113.85, 106.60, 90.00 degrees
Closest atoms and distances in Å follow each position.
Fractional positions:
Pb (0.0000, 0.0000, 0.0000)  8 Ho 3.25-3.27
Ho (0.8309, 0.5784, 0.6619)  7 Hg 3.15-3.25, 1 Pb 3.27
Ho (0.8309, 0.0835, 0.6619)  7 Hg 3.15-3.25, 1 Pb 3.27
Ho (0.5000, 0.7443, 0.0000)  6 Hg 3.20-3.29, 2 Pb 3.25
Ho (0.5000, 0.2557, 0.0000)  6 Hg 3.20-3.29, 2 Pb 3.25
Ho (0.1691, 0.9165, 0.3381)  7 Hg 3.15-3.25, 1 Pb 3.27
Ho (0.1691, 0.4216, 0.3381)  7 Hg 3.15-3.25, 1 Pb 3.27
Hg (0.6704, 0.1697, 0.3396)  8 Ho 3.15-3.29
Hg (0.3330, 0.3330, 0.6659)  8 Ho 3.20-3.21
Hg (0.0000, 0.5000, 0.0000)  8 Ho 3.20-3.25
Hg (0.6670, 0.6670, 0.3341)  8 Ho 3.20-3.21
Hg (0.3296, 0.8303, 0.6604)  8 Ho 3.15-3.29

- space-group type = C2/m, No. 12
- uncorrected energy (eV per cell) = -38.322